Record 1
DFT (PBE-GGA) results for crystalline Ta8Nb2Ir at its relaxed geometry.

Computed properties:
Density of states at the Fermi level (states/eV per atom): 0.95
ΔE_f (eV per atom): 0.00

Unit cell a=7.7729 b=7.7729 c=5.3109 alpha=100.46 beta=100.46 gamma=39.95
Element x y z (fractional)
Ta  0.0003  0.0003  0.2461
Ta  0.9997  0.9997  0.7539
Ta  0.0855  0.5889  0.4233
Ta  0.3994  0.3994  0.9514
Ta  0.4111  0.9145  0.5767
Ta  0.5889  0.0855  0.4233
Ta  0.6006  0.6006  0.0486
Ta  0.9145  0.4111  0.5767
Nb  0.1923  0.1923  0.0690
Nb  0.8077  0.8077  0.9310
Ir  0.5000  0.5000  0.5000

Record 2
DFT (PBE-GGA) results for crystalline Ta6Nb3Ir at its relaxed geometry.

Computed properties:
Density of states at the Fermi level (states/eV per atom): 1.03
ΔE_f (eV per atom): 0.10
Offset from the most stable computed form (meV per atom): 273

Unit cell a=10.6452 b=2.8527 c=12.9696 alpha=90.00 beta=111.37 gamma=90.00
Element x y z (fractional)
Ta  0.1234  0.2500  0.2084
Ta  0.1447  0.7500  0.7862
Ta  0.2340  0.2500  0.6082
Ta  0.2863  0.7500  0.4106
Ta  0.3640  0.7500  0.1739
Ta  0.3737  0.2500  0.9671
Ta  0.6263  0.7500  0.0329
Ta  0.6360  0.2500  0.8261
Ta  0.7137  0.2500  0.5894
Ta  0.7660  0.7500  0.3918
Ta  0.8553  0.2500  0.2138
Ta  0.8766  0.7500  0.7916
Nb  0.0320  0.7500  0.4037
Nb  0.1238  0.7500  0.9940
Nb  0.4922  0.7500  0.6141
Nb  0.5078  0.2500  0.3859
Nb  0.8762  0.2500  0.0060
Nb  0.9680  0.2500  0.5963
Ir  0.4008  0.7500  0.7972
Ir  0.5992  0.2500  0.2028

DFT total energy readings, ordered: -0.8273 -0.8022 Ry/atom